Entry 1:
The following is a DFT calculation (PBE) of crystalline CsPuSb2O8 at its relaxed geometry.

crystal system	monoclinic
ΔE_f (raw)	-1.713	eV per atom
DOS(E_F)	6.57	states/eV/f.u.

CIF file:
```
data_CsPuSb2O8
_chemical_formula_sum 'Cs2 Pu2 Sb4 O16'
_space_group_name_H-M_alt 'C 1 2/m 1'
_space_group_IT_number 12
_cell_length_a 9.041
_cell_length_b 6.530
_cell_length_c 7.863
_cell_angle_alpha 90.00
_cell_angle_beta 111.49
_cell_angle_gamma 90.00
loop_
_space_group_symop_operation_xyz
'x,y,z'
'-x,-y,-z'
'-x,y,-z'
'x,-y,z'
'x+1/2,y+1/2,z'
'-x+1/2,-y+1/2,-z'
'-x+1/2,y+1/2,-z'
'x+1/2,-y+1/2,z'
loop_
_atom_site_label
_atom_site_fract_x
_atom_site_fract_y
_atom_site_fract_z
Cs1 0.000 0.000 0.000
Pu1 0.000 0.000 0.500
Sb1 0.045 0.500 0.216
O1 0.017 0.249 0.701
O2 0.148 0.500 0.029
O3 0.237 0.000 0.583
```



Entry 2:
The following is a DFT calculation (PBE) of crystalline GdReB2 at its relaxed geometry.

ΔH_f (0 K)	-56.9	meV/atom
crystal system	trigonal
DOS(E_F)	1.58	states/eV/f.u.

CIF file:
```
data_GdReB2
_chemical_formula_sum 'Gd3 Re3 B6'
_space_group_name_H-M_alt 'R -3 m'
_space_group_IT_number 166
_space_group_name_Hall '-R 3 2"'
_cell_length_a 3.3643
_cell_length_b 3.3643
_cell_length_c 16.9286
_cell_angle_alpha 90.00
_cell_angle_beta 90.00
_cell_angle_gamma 120.00
loop_
_atom_site_label
_atom_site_fract_x
_atom_site_fract_y
_atom_site_fract_z
Gd1 0.0000 0.0000 0.0000
Re1 0.0000 0.0000 0.5000
B1 0.0000 0.0000 0.2304
```



Entry 3:
The following is a DFT calculation (PBE) of crystalline TbNd2Er at its relaxed geometry.

ΔH_f (0 K)	114.4	meV/atom
crystal system	cubic
DOS(E_F)	7.72	states/eV/f.u.
offset from the most stable computed form	0.406	eV/f.u.

CIF file:
```
data_TbNd2Er
_chemical_formula_sum 'Tb4 Nd8 Er4'
_space_group_name_H-M_alt 'F m -3 m'
_space_group_IT_number 225
_space_group_name_Hall '-F 4 2 3'
_cell_length_a 8.116
_cell_length_b 8.116
_cell_length_c 8.116
_cell_angle_alpha 90.00
_cell_angle_beta 90.00
_cell_angle_gamma 90.00
loop_
_atom_site_label
_atom_site_fract_x
_atom_site_fract_y
_atom_site_fract_z
Tb1 0.000 0.000 0.000
Nd1 0.250 0.250 0.250
Er1 0.000 0.000 0.500
```



Entry 4:
The following is a DFT calculation (PBE) of crystalline NaPaAuO6 at its relaxed geometry.

crystal system	trigonal
ΔE_f (raw)	-1.438	eV per atom
DOS(E_F)	7.27	states/eV/f.u.

CIF file:
```
data_NaPaAuO6
_chemical_formula_sum 'Na1 Pa1 Au1 O6'
_space_group_name_H-M_alt 'P 3 1 2'
_space_group_IT_number 149
_cell_length_a 5.4231
_cell_length_b 5.4231
_cell_length_c 4.7425
_cell_angle_alpha 90.00
_cell_angle_beta 90.00
_cell_angle_gamma 120.00
loop_
_space_group_symop_operation_xyz
'x,y,z'
'-y,x-y,z'
'-x+y,-x,z'
'-y,-x,-z'
'-x+y,y,-z'
'x,x-y,-z'
loop_
_atom_site_label
_atom_site_fract_x
_atom_site_fract_y
_atom_site_fract_z
Na1 0.0000 0.0000 0.0000
Pa1 0.6667 0.3333 0.5000
Au1 0.3333 0.6667 0.0000
O1 0.0162 0.3700 0.2446
```



Entry 5:
The following is a DFT calculation (PBE) of crystalline ThTiPt6 at its relaxed geometry.

ΔH_f (0 K)	-944.1	meV/atom
crystal system	tetragonal
DOS(E_F)	1.11	states/eV/f.u.

CIF file:
```
data_ThTiPt6
_chemical_formula_sum 'Th1 Ti1 Pt6'
_space_group_name_H-M_alt 'P 4/m m m'
_space_group_IT_number 123
_space_group_name_Hall '-P 4 2'
_cell_length_a 4.113
_cell_length_b 4.113
_cell_length_c 8.130
_cell_angle_alpha 90.00
_cell_angle_beta 90.00
_cell_angle_gamma 90.00
loop_
_atom_site_label
_atom_site_fract_x
_atom_site_fract_y
_atom_site_fract_z
Th1 0.000 0.000 0.000
Ti1 0.000 0.000 0.500
Pt1 0.000 0.500 0.270
Pt2 0.500 0.500 0.000
Pt3 0.500 0.500 0.500
```



Entry 6:
The following is a DFT calculation (PBE) of crystalline KHfFe2Te at its relaxed geometry.

crystal system	tetragonal
ΔE_f (raw)	2.132	eV per atom
DOS(E_F)	9.72	states/eV/f.u.

CIF file:
```
data_KHfFe2Te
_chemical_formula_sum 'K1 Hf1 Fe2 Te1'
_space_group_name_H-M_alt 'P 4/m m m'
_space_group_IT_number 123
_space_group_name_Hall '-P 4 2'
_cell_length_a 4.252
_cell_length_b 4.252
_cell_length_c 5.634
_cell_angle_alpha 90.00
_cell_angle_beta 90.00
_cell_angle_gamma 90.00
loop_
_atom_site_label
_atom_site_fract_x
_atom_site_fract_y
_atom_site_fract_z
K1 0.000 0.000 0.000
Hf1 0.500 0.500 0.500
Fe1 0.000 0.500 0.000
Te1 0.000 0.000 0.500
```



Entry 7:
The following is a DFT calculation (PBE) of crystalline Hf2Cu4Pd at its relaxed geometry.

ΔH_f (0 K)	627.0	meV/atom
crystal system	tetragonal
DOS(E_F)	6.82	states/eV/f.u.

CIF file:
```
data_Hf2Cu4Pd
_chemical_formula_sum 'Hf4 Cu8 Pd2'
_space_group_name_H-M_alt 'I 4/m m m'
_space_group_IT_number 139
_space_group_name_Hall '-I 4 2'
_cell_length_a 4.576
_cell_length_b 4.576
_cell_length_c 13.079
_cell_angle_alpha 90.00
_cell_angle_beta 90.00
_cell_angle_gamma 90.00
loop_
_atom_site_label
_atom_site_fract_x
_atom_site_fract_y
_atom_site_fract_z
Hf1 0.000 0.000 0.116
Cu1 0.000 0.000 0.311
Cu2 0.000 0.500 0.000
Pd1 0.000 0.000 0.500
```



Entry 8:
The following is a DFT calculation (PBE) of crystalline Pm2Nd2Sn7 at its relaxed geometry.

ΔH_f (0 K)	-208.8	meV/atom
crystal system	orthorhombic
DOS(E_F)	8.29	states/eV/f.u.

CIF file:
```
data_Pm2Nd2Sn7
_chemical_formula_sum 'Pm4 Nd4 Sn14'
_space_group_name_H-M_alt 'C m m m'
_space_group_IT_number 65
_space_group_name_Hall '-C 2 2'
_cell_length_a 9.330
_cell_length_b 11.167
_cell_length_c 7.057
_cell_angle_alpha 90.00
_cell_angle_beta 90.00
_cell_angle_gamma 90.00
loop_
_atom_site_label
_atom_site_fract_x
_atom_site_fract_y
_atom_site_fract_z
Pm1 0.000 0.223 0.000
Nd1 0.187 0.500 0.500
Sn1 0.000 0.000 0.297
Sn2 0.000 0.500 0.000
Sn3 0.250 0.250 0.295
```



Entry 9:
The following is a DFT calculation (PBE) of crystalline KSiC2 at its relaxed geometry.

crystal system	tetragonal
ΔE_f (raw)	0.890	eV per atom
DOS(E_F)	1.45	states/eV/f.u.

CIF file:
```
data_KSiC2
_chemical_formula_sum 'K4 Si4 C8'
_space_group_name_H-M_alt 'I 41/a m d'
_space_group_IT_number 141
_cell_length_a 4.828
_cell_length_b 4.828
_cell_length_c 10.933
_cell_angle_alpha 90.00
_cell_angle_beta 90.00
_cell_angle_gamma 90.00
loop_
_space_group_symop_operation_xyz
'x,y,z'
'-x,-y,-z'
'-y+1/4,x+3/4,z+1/4'
'y+1/4,-x+3/4,-z+1/4'
'-x+1/2,-y,z+1/2'
'x+1/2,y,-z+1/2'
'y+1/4,-x+1/4,z+3/4'
'-y+1/4,x+1/4,-z+3/4'
'x,-y,-z'
'-x,y,z'
'-y+1/4,-x+1/4,-z+3/4'
'y+1/4,x+1/4,z+3/4'
'-x+1/2,y,-z+1/2'
'x+1/2,-y,z+1/2'
'y+1/4,x+3/4,-z+1/4'
'-y+1/4,-x+3/4,z+1/4'
'x+1/2,y+1/2,z+1/2'
'-x+1/2,-y+1/2,-z+1/2'
'-y+3/4,x+1/4,z+3/4'
'y+3/4,-x+1/4,-z+3/4'
'-x,-y+1/2,z'
'x,y+1/2,-z'
'y+3/4,-x+3/4,z+1/4'
'-y+3/4,x+3/4,-z+1/4'
'x+1/2,-y+1/2,-z+1/2'
'-x+1/2,y+1/2,z+1/2'
'-y+3/4,-x+3/4,-z+1/4'
'y+3/4,x+3/4,z+1/4'
'-x,y+1/2,-z'
'x,-y+1/2,z'
'y+3/4,x+1/4,-z+3/4'
'-y+3/4,-x+1/4,z+3/4'
loop_
_atom_site_label
_atom_site_fract_x
_atom_site_fract_y
_atom_site_fract_z
K1 0.000 0.250 0.375
Si1 0.000 0.250 0.875
C1 0.000 0.000 0.000
```



Entry 10:
The following is a DFT calculation (PBE) of crystalline GaTeAs2 at its relaxed geometry.

crystal system	tetragonal
ΔE_f (raw)	0.194	eV per atom
DOS(E_F)	1.09	states/eV/f.u.
offset from the most stable computed form	0.000	eV/f.u.

CIF file:
```
data_GaTeAs2
_chemical_formula_sum 'Ga4 Te4 As8'
_space_group_name_H-M_alt 'I -4 2 d'
_space_group_IT_number 122
_space_group_name_Hall 'I -4 2bw'
_cell_length_a 5.781
_cell_length_b 5.781
_cell_length_c 13.969
_cell_angle_alpha 90.00
_cell_angle_beta 90.00
_cell_angle_gamma 90.00
loop_
_atom_site_label
_atom_site_fract_x
_atom_site_fract_y
_atom_site_fract_z
Ga1 0.000 0.000 0.000
Te1 0.000 0.000 0.500
As1 0.211 0.250 0.125
```



Entry 11:
The following is a DFT calculation (PBE) of crystalline Pr4NdDyHo2 at its relaxed geometry.

ΔH_f (0 K)	15.3	meV/atom
crystal system	orthorhombic
DOS(E_F)	10.72	states/eV/f.u.

CIF file:
```
data_Pr4NdDyHo2
_chemical_formula_sum 'Pr4 Nd1 Dy1 Ho2'
_space_group_name_H-M_alt 'P m m m'
_space_group_IT_number 47
_cell_length_a 5.160
_cell_length_b 5.192
_cell_length_c 10.181
_cell_angle_alpha 90.00
_cell_angle_beta 90.00
_cell_angle_gamma 90.00
loop_
_space_group_symop_operation_xyz
'x,y,z'
'-x,-y,-z'
'-x,-y,z'
'x,y,-z'
'x,-y,-z'
'-x,y,z'
'-x,y,-z'
'x,-y,z'
loop_
_atom_site_label
_atom_site_fract_x
_atom_site_fract_y
_atom_site_fract_z
Pr1 0.000 0.000 0.247
Pr2 0.500 0.500 0.248
Nd1 0.500 0.000 0.500
Dy1 0.000 0.500 0.000
Ho1 0.000 0.500 0.500
Ho2 0.500 0.000 0.000
```



Entry 12:
The following is a DFT calculation (PBE) of crystalline Al2ReSe at its relaxed geometry.

crystal system	tetragonal
ΔE_f (raw)	0.733	eV per atom
DOS(E_F)	1.76	states/eV/f.u.

CIF file:
```
data_Al2ReSe
_chemical_formula_sum 'Al8 Re4 Se4'
_space_group_name_H-M_alt 'I -4 2 d'
_space_group_IT_number 122
_space_group_name_Hall 'I -4 2bw'
_cell_length_a 6.024
_cell_length_b 6.024
_cell_length_c 10.724
_cell_angle_alpha 90.00
_cell_angle_beta 90.00
_cell_angle_gamma 90.00
loop_
_atom_site_label
_atom_site_fract_x
_atom_site_fract_y
_atom_site_fract_z
Al1 0.245 0.250 0.125
Re1 0.000 0.000 0.000
Se1 0.000 0.000 0.500
```



Entry 13:
The following is a DFT calculation (PBE) of crystalline Ca2CuRuC at its relaxed geometry.

ΔH_f (0 K)	81.5	meV/atom
crystal system	tetragonal
DOS(E_F)	3.46	states/eV/f.u.

CIF file:
```
data_Ca2CuRuC
_chemical_formula_sum 'Ca2 Cu1 Ru1 C1'
_space_group_name_H-M_alt 'P 4/m m m'
_space_group_IT_number 123
_space_group_name_Hall '-P 4 2'
_cell_length_a 5.053
_cell_length_b 5.053
_cell_length_c 3.865
_cell_angle_alpha 90.00
_cell_angle_beta 90.00
_cell_angle_gamma 90.00
loop_
_atom_site_label
_atom_site_fract_x
_atom_site_fract_y
_atom_site_fract_z
Ca1 0.000 0.500 0.000
Cu1 0.000 0.000 0.500
Ru1 0.500 0.500 0.500
C1 0.500 0.500 0.000
```



Entry 14:
The following is a DFT calculation (PBE) of crystalline Pm4GeSb3 at its relaxed geometry.

crystal system	cubic
ΔE_f (raw)	-1.033	eV per atom
DOS(E_F)	5.70	states/eV/f.u.

CIF file:
```
data_Pm4GeSb3
_chemical_formula_sum 'Pm4 Ge1 Sb3'
_space_group_name_H-M_alt 'P m -3 m'
_space_group_IT_number 221
_space_group_name_Hall '-P 4 2 3'
_cell_length_a 6.280
_cell_length_b 6.280
_cell_length_c 6.280
_cell_angle_alpha 90.00
_cell_angle_beta 90.00
_cell_angle_gamma 90.00
loop_
_atom_site_label
_atom_site_fract_x
_atom_site_fract_y
_atom_site_fract_z
Pm1 0.000 0.000 0.000
Pm2 0.000 0.500 0.500
Ge1 0.500 0.500 0.500
Sb1 0.000 0.000 0.500
```



Entry 15:
The following is a DFT calculation (PBE) of crystalline Nd7Sb2Rh2 at its relaxed geometry.

crystal system	orthorhombic
ΔE_f (raw)	-0.534	eV per atom
DOS(E_F)	9.79	states/eV/f.u.

CIF file:
```
data_Nd7Sb2Rh2
_chemical_formula_sum 'Nd14 Sb4 Rh4'
_space_group_name_H-M_alt 'C m m m'
_space_group_IT_number 65
_space_group_name_Hall '-C 2 2'
_cell_length_a 8.679
_cell_length_b 11.153
_cell_length_c 7.146
_cell_angle_alpha 90.00
_cell_angle_beta 90.00
_cell_angle_gamma 90.00
loop_
_atom_site_label
_atom_site_fract_x
_atom_site_fract_y
_atom_site_fract_z
Nd1 0.000 0.000 0.000
Nd2 0.000 0.500 0.238
Nd3 0.250 0.250 0.254
Sb1 0.193 0.000 0.500
Rh1 0.000 0.278 0.000
```



Entry 16:
The following is a DFT calculation (PBE) of crystalline PmPrGaRu at its relaxed geometry.

ΔH_f (0 K)	-392.0	meV/atom
crystal system	orthorhombic
DOS(E_F)	3.64	states/eV/f.u.
offset from the most stable computed form	0.000	eV/f.u.

CIF file:
```
data_PmPrGaRu
_chemical_formula_sum 'Pm2 Pr2 Ga2 Ru2'
_space_group_name_H-M_alt 'A m m 2'
_space_group_IT_number 38
_cell_length_a 4.384
_cell_length_b 4.104
_cell_length_c 11.063
_cell_angle_alpha 90.00
_cell_angle_beta 90.00
_cell_angle_gamma 90.00
loop_
_space_group_symop_operation_xyz
'x,y,z'
'-x,-y,z'
'-x,y,z'
'x,-y,z'
'x,y+1/2,z+1/2'
'-x,-y+1/2,z+1/2'
'-x,y+1/2,z+1/2'
'x,-y+1/2,z+1/2'
loop_
_atom_site_label
_atom_site_fract_x
_atom_site_fract_y
_atom_site_fract_z
Pm1 0.000 0.000 0.000
Pr1 0.500 0.000 0.280
Ga1 0.000 0.000 0.703
Ru1 0.500 0.000 0.578
```



Entry 17:
The following is a DFT calculation (PBE) of crystalline PmNd4Sm2Sc at its relaxed geometry.

ΔH_f (0 K)	27.6	meV/atom
crystal system	orthorhombic
DOS(E_F)	11.23	states/eV/f.u.

CIF file:
```
data_PmNd4Sm2Sc
_chemical_formula_sum 'Pm1 Nd4 Sm2 Sc1'
_space_group_name_H-M_alt 'P m m m'
_space_group_IT_number 47
_cell_length_a 5.109
_cell_length_b 5.126
_cell_length_c 10.173
_cell_angle_alpha 90.00
_cell_angle_beta 90.00
_cell_angle_gamma 90.00
loop_
_space_group_symop_operation_xyz
'x,y,z'
'-x,-y,-z'
'-x,-y,z'
'x,y,-z'
'x,-y,-z'
'-x,y,z'
'-x,y,-z'
'x,-y,z'
loop_
_atom_site_label
_atom_site_fract_x
_atom_site_fract_y
_atom_site_fract_z
Pm1 0.000 0.000 0.000
Nd1 0.000 0.500 0.257
Nd2 0.500 0.000 0.256
Sm1 0.000 0.000 0.500
Sm2 0.500 0.500 0.000
Sc1 0.500 0.500 0.500
```



Entry 18:
The following is a DFT calculation (PBE) of crystalline Fe4MoRu at its relaxed geometry.

ΔH_f (0 K)	16.5	meV/atom
crystal system	cubic
DOS(E_F)	6.73	states/eV/f.u.

CIF file:
```
data_Fe4MoRu
_chemical_formula_sum 'Fe16 Mo4 Ru4'
_space_group_name_H-M_alt 'F -4 3 m'
_space_group_IT_number 216
_space_group_name_Hall 'F -4 2 3'
_cell_length_a 6.627
_cell_length_b 6.627
_cell_length_c 6.627
_cell_angle_alpha 90.00
_cell_angle_beta 90.00
_cell_angle_gamma 90.00
loop_
_atom_site_label
_atom_site_fract_x
_atom_site_fract_y
_atom_site_fract_z
Fe1 0.125 0.125 0.125
Mo1 0.250 0.250 0.750
Ru1 0.000 0.000 0.500
```



Entry 19:
The following is a DFT calculation (PBE) of crystalline CaScTa2 at its relaxed geometry.

ΔH_f (0 K)	523.0	meV/atom
crystal system	orthorhombic
DOS(E_F)	4.28	states/eV/f.u.
offset from the most stable computed form	1.040	eV/f.u.

CIF file:
```
data_CaScTa2
_chemical_formula_sum 'Ca1 Sc1 Ta2'
_space_group_name_H-M_alt 'P m m m'
_space_group_IT_number 47
_cell_length_a 3.018
_cell_length_b 4.633
_cell_length_c 6.547
_cell_angle_alpha 90.00
_cell_angle_beta 90.00
_cell_angle_gamma 90.00
loop_
_space_group_symop_operation_xyz
'x,y,z'
'-x,-y,-z'
'-x,-y,z'
'x,y,-z'
'x,-y,-z'
'-x,y,z'
'-x,y,-z'
'x,-y,z'
loop_
_atom_site_label
_atom_site_fract_x
_atom_site_fract_y
_atom_site_fract_z
Ca1 0.000 0.000 0.000
Sc1 0.000 0.000 0.500
Ta1 0.500 0.500 0.295
```



Entry 20:
The following is a DFT calculation (PBE) of crystalline CrCoNi2 at its relaxed geometry.

ΔH_f (0 K)	81.5	meV/atom
crystal system	monoclinic
DOS(E_F)	5.50	states/eV/f.u.

CIF file:
```
data_CrCoNi2
_chemical_formula_sum 'Cr2 Co2 Ni4'
_space_group_name_H-M_alt 'C 1 2/m 1'
_space_group_IT_number 12
_cell_length_a 4.950
_cell_length_b 7.304
_cell_length_c 2.455
_cell_angle_alpha 90.00
_cell_angle_beta 90.19
_cell_angle_gamma 90.00
loop_
_space_group_symop_operation_xyz
'x,y,z'
'-x,-y,-z'
'-x,y,-z'
'x,-y,z'
'x+1/2,y+1/2,z'
'-x+1/2,-y+1/2,-z'
'-x+1/2,y+1/2,-z'
'x+1/2,-y+1/2,z'
loop_
_atom_site_label
_atom_site_fract_x
_atom_site_fract_y
_atom_site_fract_z
Cr1 0.000 0.000 0.000
Co1 0.000 0.500 0.000
Ni1 0.250 0.250 0.500
```